[1]
ThScFeOs: relaxed, PBE-GGA.

CIF file:
```
data_ThScFeOs
_cell_length_a 4.7731
_cell_length_b 4.7731
_cell_length_c 4.7731
_cell_angle_alpha 60.00
_cell_angle_beta 60.00
_cell_angle_gamma 60.00
_space_group_name_H-M_alt 'P 1'
_space_group_IT_number 1
_space_group_name_Hall 'P 1'
loop_
_atom_site_label
_atom_site_type_symbol
_atom_site_fract_x
_atom_site_fract_y
_atom_site_fract_z
_atom_site_occupancy
Sc1 Sc 0.7500 0.7500 0.7500 1
Os1 Os 0.5000 0.5000 0.5000 1
Fe1 Fe 0.0000 0.0000 0.0000 1
Th1 Th 0.2500 0.2500 0.2500 1
```

***

[2]
Sc2TiFeOs: relaxed, PBE-GGA.

CIF file:
```
data_Sc2TiFeOs
_cell_length_a 4.9323
_cell_length_b 4.4657
_cell_length_c 4.9323
_cell_angle_alpha 90.00
_cell_angle_beta 90.00
_cell_angle_gamma 90.00
_space_group_name_H-M_alt 'P 1'
_space_group_IT_number 1
_space_group_name_Hall 'P 1'
loop_
_atom_site_label
_atom_site_type_symbol
_atom_site_fract_x
_atom_site_fract_y
_atom_site_fract_z
_atom_site_occupancy
Sc1 Sc 0.0000 0.0000 0.5000 1
Sc2 Sc 0.5000 0.0000 0.0000 1
Os1 Os 0.0000 0.0000 0.0000 1
Fe1 Fe 0.0000 0.5000 0.0000 1
Ti1 Ti 0.5000 0.5000 0.5000 1
```

***

[3]
ScUFeOs: relaxed, PBE-GGA.

CIF file:
```
data_ScUFeOs
_cell_length_a 4.6391
_cell_length_b 4.6391
_cell_length_c 4.6391
_cell_angle_alpha 60.00
_cell_angle_beta 60.00
_cell_angle_gamma 60.00
_space_group_name_H-M_alt 'P 1'
_space_group_IT_number 1
_space_group_name_Hall 'P 1'
loop_
_atom_site_label
_atom_site_type_symbol
_atom_site_fract_x
_atom_site_fract_y
_atom_site_fract_z
_atom_site_occupancy
Sc1 Sc 0.7500 0.7500 0.7500 1
Os1 Os 0.5000 0.5000 0.5000 1
U1 U 0.2500 0.2500 0.2500 1
Fe1 Fe 0.0000 0.0000 0.0000 1
```

***

E
In order: -34.09, -36.67, -37.72
Unit: eV for the cell shown